# 1
The following is a DFT calculation (PBE) of a relaxed structure of Fe4As3.

a b c (Å): 10.8830 10.8830 10.8830
angles (deg): 163.57 163.57 23.32
Closest atoms and distances in Å follow each position.
Fractional coordinates of all 7 atoms:
Fe (0.1229, 0.1229, 0.0000)  5 As 2.51-2.62, 4 Fe 2.57
Fe (0.8771, 0.8771, 0.0000)  5 As 2.51-2.62, 4 Fe 2.57
Fe (0.4393, 0.4393, 0.0000)  5 As 2.53-2.55, 5 Fe 2.57-2.59
Fe (0.5607, 0.5607, 0.0000)  5 As 2.53-2.55, 5 Fe 2.57-2.59
As (0.0000, 0.0000, 0.0000)  10 Fe 2.55-2.62
As (0.3204, 0.3204, 0.0000)  5 Fe 2.51-2.53
As (0.6796, 0.6796, 0.0000)  5 Fe 2.51-2.53

Energy relative to the lowest polymorph listed for this composition (eV per atom): 0.000
Formation enthalpy at 0 K (eV per atom): 0.006
SG: I4/mmm, No. 139
N(E_F) (states/eV/cell): 7.4



# 2
The following is a DFT calculation (PBE) of a relaxed structure of PuTl2Te3.

a b c (Å): 7.9358 7.9358 8.3511
angles (deg): 98.90 98.90 119.57
Closest atoms and distances in Å follow each position.
Fractional coordinates of all 12 atoms:
Pu (0.0029, 0.9971, 0.0000)  6 Te 3.07-3.08
Pu (0.6638, 0.3362, 0.0000)  6 Te 3.07-3.08
Tl (0.8334, 0.1666, 0.5000)  6 Te 3.32-3.55
Tl (0.3333, 0.6667, 0.0000)  6 Te 3.34-3.41
Tl (0.1771, 0.8229, 0.5000)  6 Te 3.35-3.55
Tl (0.4896, 0.5104, 0.5000)  6 Te 3.35-3.55
Te (0.6276, 0.9609, 0.7903)  2 Pu 3.07, 2 Tl 3.32-3.34
Te (0.0391, 0.3724, 0.2097)  2 Pu 3.07, 2 Tl 3.32-3.34
Te (0.8936, 0.5913, 0.7763)  2 Pu 3.08, 2 Tl 3.35-3.41
Te (0.2580, 0.2269, 0.7763)  2 Pu 3.08, 2 Tl 3.35-3.41
Te (0.4087, 0.1065, 0.2237)  2 Pu 3.08, 2 Tl 3.35-3.41
Te (0.7731, 0.7420, 0.2237)  2 Pu 3.08, 2 Tl 3.35-3.41

Formation energy from raw total energies (eV/atom): -0.590
Energy relative to the lowest polymorph listed for this composition (eV per atom): 0.000
SG: C2/m, No. 12
N(E_F) (states/eV/cell): 24.7